No. 1
Density functional theory data (PBE) for crystalline Li2GeRh at its relaxed geometry.

Summary:
**Formation energy**: 0.001 eV per atom
**Magnetic moment**: 0.48 Bohr magnetons per cell

Unit cell a=2.7532 b=2.7532 c=9.4066 alpha=81.58 beta=81.58 gamma=60.00
Last column: nearest neighbours and their distance in Å.
Element x y z (fractional)
Ge1 0.5000 0.5000 0.5000  6 Ge 2.75, 6 Li 2.76
Rh1 0.0000 0.0000 0.0000  2 Li 2.39
Li1 0.0858 0.0858 0.7427  1 Rh 2.39
Li2 0.9142 0.9142 0.2573  1 Rh 2.39

---

No. 2
Density functional theory data (PBE) for crystalline Dy7TlIr2 at its relaxed geometry.

Summary:
**Formation energy**: -0.292 eV per atom
**Magnetic moment**: 0.00 Bohr magnetons per cell

Unit cell a=5.2809 b=8.1685 c=8.1685 alpha=114.26 beta=90.00 gamma=90.00
Last column: nearest neighbours and their distance in Å.
Element x y z (fractional)
Dy1 0.0000 0.7100 0.2900  2 Ir 2.64
Dy2 0.0000 0.2900 0.7100  2 Ir 2.64
Dy3 0.5000 0.0560 0.3168  2 Ir 2.82-2.96
Dy4 0.5000 0.9440 0.6832  2 Ir 2.82-2.96
Dy5 0.5000 0.3168 0.0560  2 Ir 2.82-2.96
Dy6 0.5000 0.6832 0.9440  2 Ir 2.82-2.96
Dy7 0.5000 0.5000 0.5000  2 Ir 2.79
Tl1 0.0000 0.0000 0.0000  10 Dy 3.59-3.98
Ir1 0.5000 0.7035 0.2965  7 Dy 2.64-2.96
Ir2 0.5000 0.2965 0.7035  7 Dy 2.64-2.96

---

No. 3
Density functional theory data (PBE) for crystalline Rb2Cd7Hg12 at its relaxed geometry.

Summary:
**Formation energy**: -0.063 eV per atom
**Magnetic moment**: 0.00 Bohr magnetons per cell

Unit cell a=5.2994 b=11.4559 c=11.4559 alpha=120.00 beta=90.00 gamma=90.00
Last column: nearest neighbours and their distance in Å.
Element x y z (fractional)
Rb1 0.2207 0.3333 0.6667  12 Hg 3.77-4.11, 6 Cd 3.87-4.13
Rb2 0.7793 0.6667 0.3333  12 Hg 3.77-4.11, 6 Cd 3.87-4.13
Cd1 0.5000 0.0000 0.0000  6 Hg 3.02
Cd2 0.3153 0.8867 0.2644  6 Hg 2.97-3.14
Cd3 0.3153 0.3778 0.1133  6 Hg 2.97-3.14
Cd4 0.3153 0.7356 0.6222  6 Hg 2.97-3.14
Cd5 0.6847 0.1133 0.7356  6 Hg 2.97-3.14
Cd6 0.6847 0.6222 0.8867  6 Hg 2.97-3.14
Cd7 0.6847 0.2644 0.3778  6 Hg 2.97-3.14
Hg1 0.2365 0.5993 0.0538  3 Cd 2.97-3.14, 2 Hg 3.16-3.19
Hg2 0.2365 0.4545 0.4007  3 Cd 2.97-3.14, 2 Hg 3.16-3.19
Hg3 0.2365 0.9462 0.5455  3 Cd 2.97-3.14, 2 Hg 3.16-3.19
Hg4 0.7635 0.4007 0.9462  3 Cd 2.97-3.14, 2 Hg 3.16-3.19
Hg5 0.7635 0.5455 0.5993  3 Cd 2.97-3.14, 2 Hg 3.16-3.19
Hg6 0.7635 0.0538 0.4545  3 Cd 2.97-3.14, 2 Hg 3.16-3.19
Hg7 0.1850 0.1371 0.2532  4 Cd 3.02, 3 Hg 3.16-3.19
Hg8 0.1850 0.1161 0.8629  4 Cd 3.02, 3 Hg 3.16-3.19
Hg9 0.1850 0.7468 0.8839  4 Cd 3.02, 3 Hg 3.16-3.19
Hg10 0.8150 0.8629 0.7468  4 Cd 3.02, 3 Hg 3.16-3.19
Hg11 0.8150 0.8839 0.1371  4 Cd 3.02, 3 Hg 3.16-3.19
Hg12 0.8150 0.2532 0.1161  4 Cd 3.02, 3 Hg 3.16-3.19

---

No. 4
Density functional theory data (PBE) for crystalline SiTcRh3 at its relaxed geometry.

Summary:
**Energy relative to the elements, uncorrected**: 0.52 eV/atom
**Distance to the lowest polymorph of the same formula**: 0.000 eV/atom
**Magnetic moment**: 4.08 Bohr magnetons per cell

Unit cell a=4.3808 b=4.3808 c=4.3808 alpha=90.00 beta=90.00 gamma=90.00
Last column: nearest neighbours and their distance in Å.
Element x y z (fractional)
Si1 0.0000 0.0000 0.0000  6 Rh 2.19
Rh1 0.0000 0.5000 0.0000  2 Si 2.19
Rh2 0.0000 0.0000 0.5000  2 Si 2.19
Rh3 0.5000 0.0000 0.0000  2 Si 2.19
Tc1 0.5000 0.5000 0.5000  12 Rh 3.10

---

No. 5
Density functional theory data (PBE) for crystalline Tb5Ho3Sc3 at its relaxed geometry.

Summary:
**Formation energy**: 0.361 eV per atom
**Magnetic moment**: 0.00 Bohr magnetons per cell

Unit cell a=3.3826 b=10.8019 c=10.8019 alpha=120.00 beta=90.00 gamma=90.00
Last column: nearest neighbours and their distance in Å.
Element x y z (fractional)
Tb1 0.5000 0.3333 0.6667  2 Tb 3.38, 3 Ho 3.53, 6 Sc 3.68
Tb2 0.5000 0.6667 0.3333  2 Tb 3.38, 3 Ho 3.53, 6 Sc 3.68
Tb3 0.5000 0.1655 0.1655  4 Tb 3.10-3.38, 2 Sc 3.12, 2 Ho 3.24
Tb4 0.5000 0.0000 0.8345  4 Tb 3.10-3.38, 2 Sc 3.12, 2 Ho 3.24
Tb5 0.5000 0.8345 0.0000  4 Tb 3.10-3.38, 2 Sc 3.12, 2 Ho 3.24
Ho1 0.5000 0.6533 0.6533  2 Sc 3.14, 2 Tb 3.24, 2 Ho 3.38
Ho2 0.5000 0.0000 0.3467  2 Sc 3.14, 2 Tb 3.24, 2 Ho 3.38
Ho3 0.5000 0.3467 0.0000  2 Sc 3.14, 2 Tb 3.24, 2 Ho 3.38
Sc1 0.0000 0.4083 0.4083  2 Tb 3.12, 2 Ho 3.14, 2 Sc 3.38
Sc2 0.0000 0.5917 0.0000  2 Tb 3.12, 2 Ho 3.14, 2 Sc 3.38
Sc3 0.0000 0.0000 0.5917  2 Tb 3.12, 2 Ho 3.14, 2 Sc 3.38

---

No. 6
Density functional theory data (PBE) for crystalline LiCeAgIr at its relaxed geometry.

Summary:
**Formation energy**: -0.209 eV per atom
**Magnetic moment**: 0.55 Bohr magnetons per cell

Unit cell a=4.8008 b=4.8008 c=4.8008 alpha=60.00 beta=60.00 gamma=60.00
Last column: nearest neighbours and their distance in Å.
Element x y z (fractional)
Ir1 0.7500 0.7500 0.7500  4 Ce 2.94, 4 Li 2.94
Ag1 0.2500 0.2500 0.2500  4 Li 2.94, 4 Ce 2.94
Ce1 0.5000 0.5000 0.5000  4 Ir 2.94, 4 Ag 2.94
Li1 0.0000 0.0000 0.0000  4 Ir 2.94, 4 Ag 2.94

---

No. 7
Density functional theory data (PBE) for crystalline InCBr2 at its relaxed geometry.

Summary:
**Energy relative to the elements, uncorrected**: 1.41 eV/atom
**Distance to the lowest polymorph of the same formula**: 0.384 eV/atom
**Magnetic moment**: 1.14 Bohr magnetons per cell

Unit cell a=5.1237 b=5.1237 c=5.1237 alpha=60.00 beta=60.00 gamma=60.00
Last column: nearest neighbours and their distance in Å.
Element x y z (fractional)
C1 0.0000 0.0000 0.0000  8 Br 3.14
Br1 0.2500 0.2500 0.2500  4 In 3.14, 4 C 3.14
Br2 0.7500 0.7500 0.7500  4 C 3.14, 4 In 3.14
In1 0.5000 0.5000 0.5000  8 Br 3.14

---

No. 8
Density functional theory data (PBE) for crystalline CaAcNdHg at its relaxed geometry.

Summary:
**Formation energy**: 0.037 eV per atom
**Distance to the lowest polymorph of the same formula**: 0.278 eV/atom
**Magnetic moment**: 0.00 Bohr magnetons per cell

Unit cell a=5.7638 b=5.7638 c=5.7638 alpha=60.00 beta=60.00 gamma=60.00
Last column: nearest neighbours and their distance in Å.
Element x y z (fractional)
Ac1 0.5000 0.5000 0.5000  4 Ca 3.53, 4 Nd 3.53
Ca1 0.2500 0.2500 0.2500  4 Hg 3.53, 4 Ac 3.53
Nd1 0.7500 0.7500 0.7500  4 Hg 3.53, 4 Ac 3.53
Hg1 0.0000 0.0000 0.0000  4 Nd 3.53, 4 Ca 3.53

---

No. 9
Density functional theory data (PBE) for crystalline CaThCrN3 at its relaxed geometry.

Summary:
**Energy relative to the elements, uncorrected**: -1.03 eV/atom
**Magnetic moment**: 1.22 Bohr magnetons per cell

Unit cell a=3.5401 b=7.2367 c=7.6241 alpha=94.23 beta=90.00 gamma=90.00
Last column: nearest neighbours and their distance in Å.
Element x y z (fractional)
Ca1 0.7500 0.8529 0.8420  5 N 2.47-2.64
Ca2 0.2500 0.1471 0.1580  5 N 2.47-2.64
Th1 0.2500 0.6262 0.1823  6 N 2.35-2.61
Th2 0.7500 0.3738 0.8177  6 N 2.35-2.61
Cr1 0.2500 0.0807 0.5880  4 N 1.87-1.91
Cr2 0.7500 0.9193 0.4120  4 N 1.87-1.91
N1 0.2500 0.8448 0.4706  3 Cr 1.87-1.91
N2 0.7500 0.8771 0.1668  1 Cr 1.87
N3 0.7500 0.4009 0.1267  3 Th 2.35-2.42, 2 Ca 2.57
N4 0.7500 0.1552 0.5294  3 Cr 1.87-1.91
N5 0.2500 0.5991 0.8733  3 Th 2.35-2.42, 2 Ca 2.57
N6 0.2500 0.1229 0.8332  1 Cr 1.87

---

No. 10
Density functional theory data (PBE) for crystalline AcEu2H at its relaxed geometry.

Summary:
**Distance to the lowest polymorph of the same formula**: 0.000 eV/atom
**Magnetic moment**: 15.37 Bohr magnetons per cell

Unit cell a=3.7631 b=3.7631 c=10.4676 alpha=79.64 beta=79.64 gamma=60.00
Last column: nearest neighbours and their distance in Å.
Element x y z (fractional)
Eu1 0.3801 0.3801 0.8596  3 H 2.61
Eu2 0.6199 0.6199 0.1404  3 H 2.61
H1 0.0000 0.0000 0.0000  6 Eu 2.61
Ac1 0.5000 0.5000 0.5000  2 Eu 3.68, 6 Ac 3.76

---

No. 11
Density functional theory data (PBE) for crystalline ReBrCl2 at its relaxed geometry.

Summary:
**Energy relative to the elements, uncorrected**: 0.29 eV/atom
**Distance to the lowest polymorph of the same formula**: 0.450 eV/atom
**Magnetic moment**: 0.22 Bohr magnetons per cell

Unit cell a=3.8217 b=3.8217 c=8.2005 alpha=81.15 beta=81.15 gamma=46.71
Last column: nearest neighbours and their distance in Å.
Element x y z (fractional)
Re1 0.5017 0.5017 0.4975  3 Cl 2.46-2.50, 3 Br 2.55
Br1 0.7624 0.7624 0.6793  3 Re 2.55
Cl1 0.0021 0.0021 0.9918  2 Cl 3.03, 3 Br 3.26-3.29
Cl2 0.2339 0.2339 0.3315  3 Re 2.46-2.50

---

No. 12
Density functional theory data (PBE) for crystalline CaSeS at its relaxed geometry.

Summary:
**Energy relative to the elements, uncorrected**: -1.24 eV/atom
**Distance to the lowest polymorph of the same formula**: 0.031 eV/atom
**Magnetic moment**: 0.00 Bohr magnetons per cell

Unit cell a=3.9993 b=6.6780 c=5.4838 alpha=90.00 beta=97.39 gamma=90.00
Last column: nearest neighbours and their distance in Å.
Element x y z (fractional)
Ca1 0.5741 0.9511 0.2149  3 S 2.82-2.88, 2 Se 2.98-3.04
Ca2 0.4259 0.4511 0.7851  3 S 2.82-2.88, 2 Se 2.98-3.04
S1 0.0302 0.7826 0.9052  1 Se 2.29
S2 0.9698 0.2826 0.0948  1 Se 2.29
Se1 0.1325 0.0175 0.6204  1 S 2.29
Se2 0.8675 0.5175 0.3796  1 S 2.29

---

No. 13
Density functional theory data (PBE) for crystalline CuSb4Se at its relaxed geometry.

Summary:
**Energy relative to the elements, uncorrected**: 0.62 eV/atom
**Magnetic moment**: 0.00 Bohr magnetons per cell

Unit cell a=6.1296 b=6.1296 c=6.1296 alpha=60.00 beta=60.00 gamma=60.00
Last column: nearest neighbours and their distance in Å.
Element x y z (fractional)
Cu1 0.0000 0.0000 0.0000  12 Sb 3.60, 4 Se 3.75
Sb1 0.8724 0.3759 0.3759  6 Sb 3.04-3.09
Sb2 0.3759 0.3759 0.8724  6 Sb 3.04-3.09
Sb3 0.3759 0.8724 0.3759  6 Sb 3.04-3.09
Sb4 0.3759 0.3759 0.3759  6 Sb 3.04-3.09
Se1 0.7500 0.7500 0.7500  12 Sb 3.59, 4 Cu 3.75

---

No. 14
Density functional theory data (PBE) for crystalline Pm2ScBi3 at its relaxed geometry.

Summary:
**Formation energy**: -0.811 eV per atom
**Magnetic moment**: 0.00 Bohr magnetons per cell

Unit cell a=4.4993 b=4.4992 c=9.9937 alpha=103.00 beta=103.00 gamma=90.02
Last column: nearest neighbours and their distance in Å.
Element x y z (fractional)
Pm1 0.1023 0.1035 0.2098  6 Bi 3.18-3.26
Pm2 0.7664 0.7676 0.5381  6 Bi 3.18-3.26
Sc1 0.4340 0.4359 0.8740  6 Bi 3.04-3.18
Bi1 0.9341 0.9359 0.8740  4 Sc 3.18, 2 Pm 3.18
Bi2 0.2740 0.2753 0.5534  1 Sc 3.04, 5 Pm 3.18-3.26
Bi3 0.5946 0.5958 0.1945  1 Sc 3.04, 5 Pm 3.18-3.26

---

No. 15
Density functional theory data (PBE) for crystalline Al2CrHg at its relaxed geometry.

Summary:
**Formation energy**: 0.318 eV per atom
**Magnetic moment**: 3.89 Bohr magnetons per cell

Unit cell a=4.6567 b=4.6567 c=4.6567 alpha=60.00 beta=60.00 gamma=60.00
Last column: nearest neighbours and their distance in Å.
Element x y z (fractional)
Cr1 0.5000 0.5000 0.5000  4 Al 2.85, 4 Hg 2.85
Hg1 0.7500 0.7500 0.7500  4 Al 2.85, 4 Cr 2.85
Al1 0.0000 0.0000 0.0000  4 Hg 2.85, 4 Al 2.85
Al2 0.2500 0.2500 0.2500  4 Cr 2.85, 4 Al 2.85

---

No. 16
Density functional theory data (PBE) for crystalline PrHoTm5 at its relaxed geometry.

Summary:
**Formation energy**: 1.006 eV per atom
**Distance to the lowest polymorph of the same formula**: 0.806 eV/atom
**Magnetic moment**: 0.00 Bohr magnetons per cell

Unit cell a=6.0902 b=7.9704 c=7.6073 alpha=121.59 beta=113.60 gamma=90.00
Last column: nearest neighbours and their distance in Å.
Element x y z (fractional)
Pr1 0.5763 0.5000 0.0000  6 Tm 2.87-3.20
Ho1 0.8479 0.0000 0.0000  6 Tm 3.32-3.47
Tm1 0.4199 0.2498 0.4995  1 Pr 2.92
Tm2 0.0511 0.5000 0.0000  2 Pr 2.89-3.20, 2 Tm 3.15
Tm3 0.9203 0.7502 0.5005  1 Pr 2.92
Tm4 0.3576 0.8190 0.0000  1 Pr 2.87, 2 Tm 2.88-3.15
Tm5 0.3576 0.1810 0.0000  1 Pr 2.87, 2 Tm 2.88-3.15

---

No. 17
Density functional theory data (PBE) for crystalline KMgAl2Ga4 at its relaxed geometry.

Summary:
**Formation energy**: -0.037 eV per atom
**Magnetic moment**: 0.00 Bohr magnetons per cell

Unit cell a=4.6017 b=4.6017 c=10.4965 alpha=77.34 beta=77.34 gamma=60.00
Last column: nearest neighbours and their distance in Å.
Element x y z (fractional)
K1 0.0000 0.0000 0.0000  6 Ga 3.51
Mg1 0.5000 0.5000 0.5000  8 Ga 2.79-2.89
Al1 0.7752 0.7752 0.6745  7 Ga 2.73-2.92
Al2 0.2248 0.2248 0.3255  7 Ga 2.73-2.92
Ga1 0.4084 0.4084 0.7747  1 Mg 2.79, 3 Al 2.84
Ga2 0.8709 0.8709 0.3873  4 Al 2.73-2.92, 3 Mg 2.89
Ga3 0.1291 0.1291 0.6127  4 Al 2.73-2.92, 3 Mg 2.89
Ga4 0.5916 0.5916 0.2253  1 Mg 2.79, 3 Al 2.84

---

No. 18
Density functional theory data (PBE) for crystalline La6CeDyEr2 at its relaxed geometry.

Summary:
**Formation energy**: 0.224 eV per atom
**Magnetic moment**: 0.99 Bohr magnetons per cell

Unit cell a=9.0397 b=6.8965 c=6.9776 alpha=119.62 beta=107.73 gamma=90.00
Last column: nearest neighbours and their distance in Å.
Element x y z (fractional)
La1 0.4207 0.6664 0.3327  1 Ce 3.63, 3 Er 3.72-4.01, 1 Dy 3.86, 8 La 3.95-4.00
La2 0.1940 0.1141 0.7103  1 Dy 3.24, 3 La 3.32-3.57, 1 Ce 3.33, 2 Er 3.46-3.52
La3 0.8060 0.4038 0.2897  1 Dy 3.24, 3 La 3.32-3.57, 1 Ce 3.33, 2 Er 3.46-3.52
La4 0.1940 0.5962 0.7103  1 Dy 3.24, 3 La 3.32-3.57, 1 Ce 3.33, 2 Er 3.46-3.52
La5 0.8060 0.8859 0.2897  1 Dy 3.24, 3 La 3.32-3.57, 1 Ce 3.33, 2 Er 3.46-3.52
La6 0.5793 0.3336 0.6673  1 Ce 3.63, 3 Er 3.72-4.01, 1 Dy 3.86, 8 La 3.95-4.00
Ce1 0.0000 0.5000 0.0000  6 La 3.33-3.63
Dy1 0.5000 0.0000 0.0000  4 La 3.24, 2 Er 3.52
Er1 0.1795 0.1012 0.2025  1 Er 3.31, 4 La 3.46-3.52, 1 Dy 3.52
Er2 0.8205 0.8988 0.7975  1 Er 3.31, 4 La 3.46-3.52, 1 Dy 3.52

---

No. 19
Density functional theory data (PBE) for crystalline TbSm2CdHg4 at its relaxed geometry.

Summary:
**Formation energy**: -0.445 eV per atom
**Magnetic moment**: 0.00 Bohr magnetons per cell

Unit cell a=5.2028 b=5.2028 c=9.2870 alpha=73.73 beta=73.73 gamma=60.00
Last column: nearest neighbours and their distance in Å.
Element x y z (fractional)
Tb1 0.0000 0.0000 0.0000  8 Hg 3.14-3.21
Sm1 0.7582 0.7582 0.7254  8 Hg 3.11-3.36
Sm2 0.2418 0.2418 0.2746  8 Hg 3.11-3.36
Cd1 0.5000 0.5000 0.5000  8 Hg 3.23-3.48, 6 Sm 3.60
Hg1 0.3680 0.3680 0.8960  3 Tb 3.14, 4 Sm 3.33-3.36, 1 Cd 3.48
Hg2 0.8782 0.8782 0.3653  4 Sm 3.11-3.16, 1 Tb 3.21, 3 Cd 3.23
Hg3 0.1218 0.1218 0.6347  4 Sm 3.11-3.16, 1 Tb 3.21, 3 Cd 3.23
Hg4 0.6320 0.6320 0.1040  3 Tb 3.14, 4 Sm 3.33-3.36, 1 Cd 3.48

---

No. 20
Density functional theory data (PBE) for crystalline Cd6Ag2Rh at its relaxed geometry.

Summary:
**Formation energy**: -0.035 eV per atom
**Distance to the lowest polymorph of the same formula**: 0.000 eV/atom
**Magnetic moment**: 0.00 Bohr magnetons per cell

Unit cell a=4.3281 b=5.0967 c=9.1499 alpha=104.15 beta=90.00 gamma=115.13
Last column: nearest neighbours and their distance in Å.
Element x y z (fractional)
Cd1 0.3343 0.6686 0.9413  9 Cd 2.96-3.19, 3 Ag 3.06-3.11
Cd2 0.6657 0.3314 0.0587  9 Cd 2.96-3.19, 3 Ag 3.06-3.11
Cd3 0.9978 0.9956 0.1867  1 Rh 2.86, 3 Ag 2.93-2.94, 7 Cd 2.97-3.19
Cd4 0.6626 0.3252 0.4035  4 Ag 2.88-3.04, 3 Rh 2.90-3.00, 5 Cd 2.98-3.16
Cd5 0.0022 0.0044 0.8133  1 Rh 2.86, 3 Ag 2.93-2.94, 7 Cd 2.97-3.19
Cd6 0.3374 0.6748 0.5965  4 Ag 2.88-3.04, 3 Rh 2.90-3.00, 5 Cd 2.98-3.16
Ag1 0.6714 0.3428 0.7203  10 Cd 2.88-3.11, 2 Rh 3.09
Ag2 0.3286 0.6572 0.2797  10 Cd 2.88-3.11, 2 Rh 3.09
Rh1 0.0000 0.0000 0.5000  8 Cd 2.86-3.00, 4 Ag 3.09